# 1
The following is a PBE-GGA calculation of a geometry-optimized Cd3GaTe4 structure, from Alexandria via LeMat-Bulk.

a b c (Å): 6.6121 6.6121 6.6121
angles (deg): 90.00 90.00 90.00
With the nearest neighbours (Å) after each atom.
Space group P-43m (No. 215)
Symmetry-distinct sites (fractional):
Cd 0.0000 0.0000 0.5000  4 Te 2.88
Ga 0.5000 0.5000 0.5000  4 Te 2.83
Te 0.2532 0.2532 0.7468  1 Ga 2.83, 3 Cd 2.88

**Energy above the lowest structure with this stoichiometry**: 0.0 meV per atom
**Calculated total energy**: -2.649 eV per atom
**M_tot**: 0.00 Bohr magnetons per cell
**E_form (uncorrected)**: -0.356 eV/atom
**Crystal system**: cubic

***

# 2
The following is a PBE-GGA calculation of a geometry-optimized V2CdGaTe structure, from Alexandria via LeMat-Bulk.

a b c (Å): 5.0883 5.0883 5.6375
angles (deg): 90.00 90.00 90.00
With the nearest neighbours (Å) after each atom.
Space group P4/mmm (No. 123)
Symmetry-distinct sites (fractional):
V 0.0000 0.5000 0.0000  2 Te 2.54
Cd 0.0000 0.0000 0.5000  2 Te 2.82
Ga 0.5000 0.5000 0.5000  4 Cd 3.60, 8 V 3.80
Te 0.0000 0.0000 0.0000  4 V 2.54, 2 Cd 2.82

**Calculated total energy**: -4.009 eV per atom
**M_tot**: 6.71 Bohr magnetons per cell
**E_form (uncorrected)**: 1.055 eV/atom
**Crystal system**: tetragonal

***

# 3
The following is a PBE-GGA calculation of a geometry-optimized ZnCdGa2Te structure, from Alexandria via LeMat-Bulk.

a b c (Å): 5.3279 5.3279 5.6296
angles (deg): 90.00 90.00 90.00
With the nearest neighbours (Å) after each atom.
Space group P4/mmm (No. 123)
Symmetry-distinct sites (fractional):
Zn 0.0000 0.0000 0.0000  4 Te 3.77, 8 Ga 3.88
Cd 0.5000 0.5000 0.5000  4 Ga 2.66, 2 Te 2.81
Ga 0.0000 0.5000 0.5000  2 Cd 2.66
Te 0.5000 0.5000 0.0000  2 Cd 2.81

**Calculated total energy**: -1.822 eV per atom
**M_tot**: 0.00 Bohr magnetons per cell
**E_form (uncorrected)**: 0.455 eV/atom
**Crystal system**: tetragonal

***

# 4
The following is a PBE-GGA calculation of a geometry-optimized Th4CdGa structure, from Alexandria via LeMat-Bulk.

a b c (Å): 7.7397 7.7397 5.7514
angles (deg): 90.00 90.00 90.00
With the nearest neighbours (Å) after each atom.
Space group P4/mcc (No. 124)
Symmetry-distinct sites (fractional):
Th 0.1487 0.3356 0.0000  2 Ga 3.18, 2 Cd 3.33, 3 Th 3.43-3.53
Cd 0.5000 0.5000 0.2500  2 Cd 2.88
Ga 0.0000 0.0000 0.2500  2 Ga 2.88, 8 Th 3.18

**DFT formation energy**: -0.2011 eV per atom
**Calculated total energy**: -5.805 eV per atom
**M_tot**: 0.00 Bohr magnetons per cell
**Crystal system**: tetragonal

***

# 5
The following is a PBE-GGA calculation of a geometry-optimized Th2Cd3Ga2 structure, from Alexandria via LeMat-Bulk.

a b c (Å): 4.0454 20.7123 4.2331
angles (deg): 90.00 90.00 90.00
With the nearest neighbours (Å) after each atom.
Space group Cmmm (No. 65)
Symmetry-distinct sites (fractional):
Th 0.0000 0.1684 0.0000  6 Ga 3.07-3.23
Cd 0.0000 0.0000 0.0000  8 Cd 3.28, 2 Th 3.49
Cd 0.0000 0.4285 0.5000  1 Ga 2.95, 5 Cd 2.96-3.28
Ga 0.0000 0.2863 0.5000  2 Ga 2.52

**DFT formation energy**: -0.2717 eV per atom
**Calculated total energy**: -3.649 eV per atom
**M_tot**: 0.00 Bohr magnetons per cell
**Crystal system**: orthorhombic

***

# 6
The following is a PBE-GGA calculation of a geometry-optimized Th4CdGa2 structure, from Alexandria via LeMat-Bulk.

a b c (Å): 4.9240 4.9240 29.8249
angles (deg): 90.00 90.00 120.00
With the nearest neighbours (Å) after each atom.
Space group R-3m (No. 166, hexagonal axes)
Symmetry-distinct sites (fractional):
Th 0.0000 0.0000 0.1148  3 Ga 3.13, 3 Cd 3.24
Th 0.0000 0.0000 0.2983  4 Ga 3.04-3.16
Cd 0.0000 0.0000 0.5000  2 Ga 2.86
Ga 0.0000 0.0000 0.4042  1 Cd 2.86, 7 Th 3.04-3.16

**DFT formation energy**: -0.0262 eV per atom
**Calculated total energy**: -5.262 eV per atom
**M_tot**: 0.00 Bohr magnetons per cell
**Crystal system**: trigonal

***

# 7
The following is a PBE-GGA calculation of a geometry-optimized ThCdGa4 structure, from Alexandria via LeMat-Bulk.

a b c (Å): 7.9640 7.9640 7.9640
angles (deg): 90.00 90.00 90.00
With the nearest neighbours (Å) after each atom.
Space group F-43m (No. 216)
Symmetry-distinct sites (fractional):
Th 0.0000 0.0000 0.0000  12 Ga 3.30, 4 Cd 3.45
Cd 0.2500 0.2500 0.7500  12 Ga 3.30, 4 Th 3.45
Ga 0.1254 0.1254 0.3746  6 Ga 2.81-2.82

**DFT formation energy**: -0.1459 eV per atom
**Calculated total energy**: -3.553 eV per atom
**M_tot**: 0.01 Bohr magnetons per cell
**Crystal system**: cubic

***

# 8
The following is a PBE-GGA calculation of a geometry-optimized ThCd2Ga structure, from Alexandria via LeMat-Bulk.

a b c (Å): 3.2705 3.2705 33.8181
angles (deg): 90.00 90.00 120.00
With the nearest neighbours (Å) after each atom.
Space group R-3m (No. 166, hexagonal axes)
Symmetry-distinct sites (fractional):
Th 0.0000 0.0000 0.0000  6 Th 3.27, 2 Cd 3.28
Cd 0.0000 0.0000 0.0971  3 Ga 3.02, 6 Cd 3.27, 1 Th 3.28
Ga 0.0000 0.0000 0.5000  6 Cd 3.02, 6 Ga 3.27

**DFT formation energy**: 0.2324 eV per atom
**Energy above the lowest structure with this stoichiometry**: 461.9 meV per atom
**Calculated total energy**: -2.837 eV per atom
**M_tot**: 0.00 Bohr magnetons per cell
**Crystal system**: trigonal

***

# 9
The following is a PBE-GGA calculation of a geometry-optimized Th2CdGa12 structure, from Alexandria via LeMat-Bulk.

a b c (Å): 5.9766 5.9766 17.5225
angles (deg): 90.00 90.00 90.00
With the nearest neighbours (Å) after each atom.
Space group P4/nbm (No. 125, origin choice 2)
Symmetry-distinct sites (fractional):
Th 0.2500 0.7500 0.2216  10 Ga 3.14-3.25
Cd 0.2500 0.7500 0.5000  8 Ga 2.91-2.93
Ga 0.0016 0.5016 0.3849  6 Ga 2.67-2.99, 2 Cd 2.91-2.93
Ga 0.0730 0.5730 0.9358  3 Ga 2.57-2.65
Ga 0.2500 0.2500 0.1483  5 Ga 2.51-2.65
Ga 0.2500 0.2500 0.2915  5 Ga 2.51-2.67

**DFT formation energy**: -0.2219 eV per atom
**Calculated total energy**: -3.694 eV per atom
**M_tot**: 0.00 Bohr magnetons per cell
**Crystal system**: tetragonal

***

# 10
The following is a PBE-GGA calculation of a geometry-optimized Th4Cd5Ga2 structure, from Alexandria via LeMat-Bulk.

a b c (Å): 8.3159 3.3821 10.1661
angles (deg): 90.00 93.41 90.00
With the nearest neighbours (Å) after each atom.
Space group P2/m (No. 10)
Symmetry-distinct sites (fractional):
Th 0.1562 0.0000 0.3688  2 Ga 3.08, 2 Th 3.38, 4 Cd 3.40-3.43
Th 0.2670 0.0000 0.9575  4 Ga 3.14-3.15, 2 Th 3.38, 6 Cd 3.40-3.46
Cd 0.1994 0.5000 0.6621  1 Ga 2.99, 2 Cd 3.07
Cd 0.4559 0.5000 0.2130  2 Cd 2.92-3.07
Cd 0.5000 0.5000 0.5000  4 Cd 2.92-3.07
Ga 0.0388 0.5000 0.1291  1 Ga 2.67

**DFT formation energy**: -0.2067 eV per atom
**Calculated total energy**: -3.871 eV per atom
**M_tot**: 0.00 Bohr magnetons per cell
**Crystal system**: monoclinic

***

# 11
The following is a PBE-GGA calculation of a geometry-optimized ThCd2Ga structure, from Alexandria via LeMat-Bulk.

a b c (Å): 4.4635 4.4635 4.9199
angles (deg): 90.00 90.00 90.00
With the nearest neighbours (Å) after each atom.
Space group P4/mmm (No. 123)
Symmetry-distinct sites (fractional):
Th 0.0000 0.0000 0.0000  4 Ga 3.16, 8 Cd 3.32
Cd 0.0000 0.5000 0.5000  4 Cd 3.16, 4 Th 3.32, 4 Ga 3.32
Ga 0.5000 0.5000 0.0000  4 Th 3.16, 8 Cd 3.32

**DFT formation energy**: -0.2295 eV per atom
**Energy above the lowest structure with this stoichiometry**: 0.0 meV per atom
**Calculated total energy**: -3.299 eV per atom
**M_tot**: 0.00 Bohr magnetons per cell
**Crystal system**: tetragonal

***

# 12
The following is a PBE-GGA calculation of a geometry-optimized TmThCdGa structure, from Alexandria via LeMat-Bulk.

a b c (Å): 7.3955 7.3955 7.3955
angles (deg): 90.00 90.00 90.00
With the nearest neighbours (Å) after each atom.
Space group F-43m (No. 216)
Symmetry-distinct sites (fractional):
Tm 0.0000 0.0000 0.0000  4 Cd 3.20, 4 Ga 3.20
Th 0.0000 0.0000 0.5000  4 Cd 3.20, 4 Ga 3.20
Cd 0.2500 0.2500 0.7500  4 Th 3.20, 4 Tm 3.20
Ga 0.2500 0.2500 0.2500  4 Th 3.20, 4 Tm 3.20

**DFT formation energy**: -0.3190 eV per atom
**Calculated total energy**: -4.277 eV per atom
**M_tot**: 0.00 Bohr magnetons per cell
**Crystal system**: cubic